Model 1:
A geometry-optimized Be2Tc structure. Source: Alexandria, functional PBEsol.

## Properties
Total moment (μB per atom): 0.00

a = 6.111 Å, b = 6.111 Å, c = 6.111 Å
α = 90.00°, β = 90.00°, γ = 90.00°
Space group Fd-3m (No. 227, origin choice 2)
Inequivalent atoms, fractional coordinates:
Be 0.000 0.000 0.000
Tc 0.125 0.125 0.625



Model 2:
A geometry-optimized Be2Tc structure. Source: Alexandria, functional PBEsol.

## Properties
Total moment (μB per atom): 0.00

a = 4.168 Å, b = 4.168 Å, c = 2.353 Å
α = 90.00°, β = 90.00°, γ = 90.00°
Space group P4/mmm (No. 123)
Inequivalent atoms, fractional coordinates:
Be 0.000 0.500 0.000
Tc 0.000 0.000 0.500



Model 3:
A geometry-optimized Be2Tc structure. Source: Alexandria, functional PBEsol.

## Properties
Total moment (μB per atom): 0.00

a = 4.3202 Å, b = 4.3202 Å, c = 14.1132 Å
α = 90.00°, β = 90.00°, γ = 120.00°
Space group P6_3/mmc (No. 194)
Inequivalent atoms, fractional coordinates:
Be 0.0000 0.5000 0.0000
Be 0.1637 0.3275 0.2500
Be 0.3333 0.6667 0.1253
Tc 0.0000 0.0000 0.0946
Tc 0.3333 0.6667 0.6579



So which one is most stable? That would be model 3, about 7 meV per atom below the next structure.



Model 1:
A geometry-optimized Be3Tc structure. Source: Alexandria, functional PBEsol.

## Properties
Total moment (μB per atom): 0.00

a = 3.272 Å, b = 3.272 Å, c = 14.081 Å
α = 90.00°, β = 90.00°, γ = 90.00°
Space group I4/mmm (No. 139)
Inequivalent atoms, fractional coordinates:
Be 0.000 0.000 0.138
Be 0.000 0.500 0.000
Be 0.000 0.500 0.250
Tc 0.000 0.000 0.383



Model 2:
A geometry-optimized Be3Tc structure. Source: Alexandria, functional PBEsol.

## Properties
Total moment (μB per atom): 0.04

a = 3.355 Å, b = 3.355 Å, c = 3.355 Å
α = 90.00°, β = 90.00°, γ = 90.00°
Space group Pm-3m (No. 221)
Inequivalent atoms, fractional coordinates:
Be 0.000 0.000 0.500
Tc 0.500 0.500 0.500



So which one is most stable? That would be model 1, about 50 meV per atom below the next structure.



Model 1:
A geometry-optimized BeTc structure. Source: Alexandria, functional PBEsol.

## Properties
Total moment (μB per atom): 0.00

a = 3.058 Å, b = 8.685 Å, c = 3.168 Å
α = 90.00°, β = 90.00°, γ = 90.00°
Space group Cmcm (No. 63)
Inequivalent atoms, fractional coordinates:
Be 0.000 0.070 0.250
Tc 0.000 0.350 0.250



Model 2:
A geometry-optimized BeTc structure. Source: Alexandria, functional PBEsol.

## Properties
Total moment (μB per atom): 0.00

a = 4.856 Å, b = 4.856 Å, c = 4.856 Å
α = 90.00°, β = 90.00°, γ = 90.00°
Space group F-43m (No. 216)
Inequivalent atoms, fractional coordinates:
Be 0.000 0.000 0.000
Tc 0.250 0.250 0.250



So which one is most stable? That would be model 1, about 1988 meV per atom below the next structure.